Entry from Alexandria: a relaxed TePtPb3 crystal (GGA-PBE).

Lattice parameters (Å, degrees): 5.4458 5.4458 5.4458 90.00 90.00 90.00
Closest atoms and distances in Å follow each position.
Fractional coordinates of all 5 atoms:
Te1 0.0000 0.0000 0.0000  12 Pb 3.85
Pt1 0.5000 0.5000 0.5000  6 Pb 2.72
Pb1 0.0000 0.5000 0.5000  2 Pt 2.72
Pb2 0.5000 0.0000 0.5000  2 Pt 2.72
Pb3 0.5000 0.5000 0.0000  2 Pt 2.72

DOS(E_F) = 0.78 states/eV/atom
Energy relative to the elements, uncorrected = -8 kJ/mol of formula units